Below is a geometry-optimized RbCoH2F8 structure, with properties calculated at the PBE+U level.

Lattice parameters (Å, degrees): 5.0098 4.8344 7.8761 76.97 93.41 68.86
With the nearest neighbours (Å) after each atom.
Fractional coordinates of all 12 atoms:
F  0.2240  0.7144  0.1989  1 H 1.52
F  0.7760  0.2856  0.8011  1 H 1.52
F  0.2231  0.7957  0.8668  1 Co 1.77
F  0.6500  0.6814  0.3879  1 H 0.98
F  0.3500  0.3186  0.6121  1 H 0.98
F  0.7769  0.2043  0.1332  1 Co 1.77
F  0.7808  0.7935  0.9935  1 Co 1.74
F  0.2192  0.2065  0.0065  1 Co 1.74
H  0.4991  0.2933  0.7067  1 F 0.98
H  0.5009  0.7067  0.2933  1 F 0.98
Co  0.0000  0.0000  0.0000  6 F 1.74-1.82
Rb  0.0000  0.0000  0.5000  8 F 2.85-3.08, 2 H 3.15

Summary:
The uncorrected energy comes out at -48.085 eV per formula unit. As for the space group: No. 2. Its density is 2.89 g/cm³.